# Fe2CoH4Rh

A relaxed Fe2CoH4Rh crystal (PBE, Alexandria).

* uncorrected energy: -5.602 eV/atom

a b c (Å): 5.4050 5.4050 5.4050
angles (deg): 119.84 119.52 90.56
Closest atoms and distances in Å follow each position.
Element x y z (fractional)
Fe 0.0000 0.0000 0.0000  6 H 1.84
Fe 0.5000 0.0000 0.0000  6 H 1.94-1.95
Fe 0.5000 0.0000 0.5000  6 H 1.84
Fe 0.5000 0.5000 0.5000  6 H 1.94-1.95
Co 0.0000 0.0000 0.5000  6 H 1.87-1.89
Co 0.0000 0.5000 0.0000  6 H 1.87-1.89
H 0.2342 0.2413 0.9929  3 Fe 1.84-1.95, 2 Co 1.89, 1 Rh 1.97
H 0.2453 0.2231 0.4778  3 Fe 1.84-1.94, 1 Co 1.87, 2 Rh 2.01
H 0.2453 0.7675 0.0222  3 Fe 1.84-1.94, 1 Co 1.87, 2 Rh 2.01
H 0.2516 0.7587 0.4929  3 Fe 1.84-1.95, 2 Co 1.89, 1 Rh 1.97
H 0.7484 0.2413 0.5071  3 Fe 1.84-1.95, 2 Co 1.89, 1 Rh 1.97
H 0.7547 0.2325 0.9778  3 Fe 1.84-1.94, 1 Co 1.87, 2 Rh 2.01
H 0.7547 0.7769 0.5222  3 Fe 1.84-1.94, 1 Co 1.87, 2 Rh 2.01
H 0.7658 0.7587 0.0071  3 Fe 1.84-1.95, 2 Co 1.89, 1 Rh 1.97
Rh 0.0000 0.5000 0.5000  6 H 1.97-2.01
Rh 0.5000 0.5000 0.0000  6 H 1.97-2.01

---

# PmPrEr4Tm2

A relaxed PmPrEr4Tm2 crystal (PBE, Alexandria).

* energy relative to the elements: 0.434 eV/atom
* uncorrected energy: -4.157 eV/atom

a b c (Å): 9.4708 9.4708 9.4708
angles (deg): 138.13 103.34 91.41
Closest atoms and distances in Å follow each position.
Element x y z (fractional)
Pm 0.0000 0.0000 0.0000  6 Er 3.34-3.39, 2 Tm 3.38
Pm 0.5000 0.0000 0.5000  6 Er 3.34-3.39, 2 Tm 3.38
Pr 0.5000 0.0000 0.0000  6 Er 3.37-3.44, 2 Pr 3.38
Pr 0.5000 0.5000 0.5000  6 Er 3.37-3.44, 2 Pr 3.38
Er 0.2423 0.7472 0.4951  3 Tm 3.27-3.34, 1 Pm 3.34, 2 Er 3.38, 2 Pr 3.44
Er 0.2452 0.2466 0.5013  3 Tm 3.24-3.39, 2 Er 3.37-3.40, 1 Pr 3.37, 2 Pm 3.39
Er 0.2452 0.7439 0.9987  3 Tm 3.24-3.39, 2 Er 3.37-3.40, 1 Pr 3.37, 2 Pm 3.39
Er 0.2479 0.2528 0.9951  3 Tm 3.27-3.34, 1 Pm 3.34, 2 Er 3.38, 2 Pr 3.44
Er 0.7521 0.7472 0.0049  3 Tm 3.27-3.34, 1 Pm 3.34, 2 Er 3.38, 2 Pr 3.44
Er 0.7548 0.2561 0.0013  3 Tm 3.24-3.39, 2 Er 3.37-3.40, 1 Pr 3.37, 2 Pm 3.39
Er 0.7548 0.7534 0.4987  3 Tm 3.24-3.39, 2 Er 3.37-3.40, 1 Pr 3.37, 2 Pm 3.39
Er 0.7577 0.2528 0.5049  3 Tm 3.27-3.34, 1 Pm 3.34, 2 Er 3.38, 2 Pr 3.44
Tm 0.0000 0.0000 0.5000  6 Er 3.24-3.34, 2 Tm 3.38
Tm 0.0000 0.5000 0.0000  6 Er 3.24-3.34, 2 Tm 3.38
Tm 0.0000 0.5000 0.5000  6 Er 3.27-3.39, 2 Pm 3.38
Tm 0.5000 0.5000 0.0000  6 Er 3.27-3.39, 2 Pm 3.38

---

# Rb2Te3P

A relaxed Rb2Te3P crystal (PBE, Alexandria).

* formation energy (no corrections): -510 meV/atom
* uncorrected energy: -3.305 eV/atom

a b c (Å): 8.3068 17.8714 8.0184
angles (deg): 90.00 117.67 90.00
Closest atoms and distances in Å follow each position.
Element x y z (fractional)
Rb 0.1418 0.1635 0.0744  5 Te 3.66-4.10
Rb 0.1418 0.3365 0.5744  5 Te 3.66-4.10
Rb 0.2963 0.5710 0.1542  7 Te 3.72-4.03
Rb 0.2963 0.9290 0.6542  7 Te 3.72-4.03
Rb 0.7037 0.0710 0.3458  7 Te 3.72-4.03
Rb 0.7037 0.4290 0.8458  7 Te 3.72-4.03
Rb 0.8582 0.6635 0.4256  5 Te 3.66-4.10
Rb 0.8582 0.8365 0.9256  5 Te 3.66-4.10
Te 0.1947 0.1329 0.6039  1 P 2.46
Te 0.1947 0.3671 0.1039  1 P 2.46
Te 0.2843 0.5489 0.6482  1 P 2.47
Te 0.2843 0.9511 0.1482  1 P 2.47
Te 0.3873 0.7501 0.4483  2 P 2.63-2.64
Te 0.3873 0.7499 0.9483  2 P 2.63-2.64
Te 0.6127 0.2501 0.0517  2 P 2.63-2.64
Te 0.6127 0.2499 0.5517  2 P 2.63-2.64
Te 0.7157 0.0489 0.8518  1 P 2.47
Te 0.7157 0.4511 0.3518  1 P 2.47
Te 0.8053 0.6329 0.8961  1 P 2.46
Te 0.8053 0.8671 0.3961  1 P 2.46
P 0.4786 0.6618 0.7416  4 Te 2.46-2.64
P 0.4786 0.8382 0.2416  4 Te 2.46-2.64
P 0.5214 0.1618 0.7584  4 Te 2.46-2.64
P 0.5214 0.3382 0.2584  4 Te 2.46-2.64

---

# SrLi17Tb

A relaxed SrLi17Tb crystal (PBE, Alexandria).

* energy relative to the elements: 0.058 eV/atom
* uncorrected energy: -1.986 eV/atom

a b c (Å): 7.6127 7.6127 7.6127
angles (deg): 82.43 82.43 82.43
Closest atoms and distances in Å follow each position.
Element x y z (fractional)
Sr 0.0000 0.0000 0.0000  19 Li 3.61-3.90
Li 0.0116 0.0116 0.4855  8 Li 2.96-3.19
Li 0.0116 0.4855 0.0116  8 Li 2.96-3.19
Li 0.1444 0.6557 0.6557  10 Li 2.86-3.12
Li 0.3101 0.3101 0.7803  9 Li 2.86-3.08
Li 0.3101 0.7803 0.3101  9 Li 2.86-3.08
Li 0.3595 0.6433 0.9503  7 Li 2.85-3.08
Li 0.3595 0.9503 0.6433  7 Li 2.85-3.08
Li 0.4855 0.0116 0.0116  8 Li 2.96-3.19
Li 0.5520 0.5520 0.5520  7 Li 2.88-3.12
Li 0.6433 0.3595 0.9503  7 Li 2.85-3.08
Li 0.6433 0.9503 0.3595  7 Li 2.85-3.08
Li 0.6557 0.1444 0.6557  10 Li 2.86-3.12
Li 0.6557 0.6557 0.1444  10 Li 2.86-3.12
Li 0.7460 0.7460 0.7460  4 Li 2.88-3.03
Li 0.7803 0.3101 0.3101  9 Li 2.86-3.08
Li 0.9503 0.3595 0.6433  7 Li 2.85-3.08
Li 0.9503 0.6433 0.3595  7 Li 2.85-3.08
Tb 0.3148 0.3148 0.3148  16 Li 3.49-3.89

---

# Cu2TcPb

A relaxed Cu2TcPb crystal (PBE, Alexandria).

* energy relative to the elements: 0.628 eV/atom
* uncorrected energy: -4.939 eV/atom

a b c (Å): 8.9397 8.9397 8.9397
angles (deg): 19.23 19.23 19.23
Closest atoms and distances in Å follow each position.
Element x y z (fractional)
Cu 0.0000 0.0000 0.0000  3 Cu 2.52
Cu 0.2636 0.2636 0.2636  3 Cu 2.52, 3 Tc 2.62
Tc 0.5221 0.5221 0.5221  3 Cu 2.62
Pb 0.7621 0.7621 0.7621  6 Pb 2.99, 3 Tc 3.00, 3 Cu 3.05

---

# Pu2HgO11

A relaxed Pu2HgO11 crystal (PBE, Alexandria).

* formation energy (no corrections): -1264 meV/atom
* uncorrected energy: -7.229 eV/atom

a b c (Å): 8.6431 8.6431 8.6431
angles (deg): 101.13 113.77 113.82
Closest atoms and distances in Å follow each position.
Element x y z (fractional)
Pu 0.2142 0.2500 0.4642  4 O 1.83-1.86
Pu 0.2887 0.7559 0.0328  4 O 1.82-1.85
Pu 0.7231 0.2559 0.9672  4 O 1.82-1.85
Pu 0.7858 0.7500 0.5358  4 O 1.83-1.86
Hg 0.2531 0.2531 0.0000  4 O 2.32-2.33
Hg 0.2531 0.7531 0.5000  4 O 2.32-2.33
O 0.2061 0.2244 0.2420  1 Pu 1.86
O 0.2061 0.4641 0.4817  1 Pu 1.86
O 0.2303 0.0434 0.4499  1 Pu 1.83
O 0.2303 0.2804 0.6869  1 Pu 1.83
O 0.2765 0.5327 0.0051  1 Pu 1.85
O 0.2765 0.7714 0.2439  1 Pu 1.85
O 0.3122 0.7441 0.8309  1 Pu 1.82
O 0.3122 0.9812 0.0681  1 Pu 1.82
O 0.5276 0.0327 0.7561  1 Pu 1.85
O 0.5276 0.2714 0.9949  1 Pu 1.85
O 0.5882 0.4652 0.6230  1 O 1.36
O 0.5935 0.5434 0.3131  1 Pu 1.83
O 0.5935 0.7804 0.5501  1 Pu 1.83
O 0.7121 0.9788 0.2334  2 O 1.36
O 0.7454 0.4788 0.7666  2 O 1.36
O 0.8176 0.1189 0.1986  1 O 1.36
O 0.8422 0.9652 0.3770  1 O 1.36
O 0.9132 0.2441 0.9319  1 Pu 1.82
O 0.9132 0.4812 0.1691  1 Pu 1.82
O 0.9203 0.6189 0.8014  1 O 1.36
O 0.9824 0.7244 0.5183  1 Pu 1.86
O 0.9824 0.9641 0.7580  1 Pu 1.86

---

# PmGa3Rh3

A relaxed PmGa3Rh3 crystal (PBE, Alexandria).

* distance to the lowest polymorph of the same formula: 0.377 eV/atom
* energy relative to the elements: -0.248 eV/atom
* uncorrected energy: -5.374 eV/atom

a b c (Å): 6.7013 6.7013 6.7013
angles (deg): 90.00 90.00 90.00
Closest atoms and distances in Å follow each position.
Element x y z (fractional)
Pm 0.0000 0.0000 0.0000  12 Rh 3.75, 12 Ga 3.75
Pm 0.5000 0.5000 0.5000  12 Rh 3.75, 12 Ga 3.75
Ga 0.0000 0.2500 0.5000  4 Rh 2.37
Ga 0.0000 0.7500 0.5000  4 Rh 2.37
Ga 0.2500 0.5000 0.0000  4 Rh 2.37
Ga 0.5000 0.0000 0.2500  4 Rh 2.37
Ga 0.5000 0.0000 0.7500  4 Rh 2.37
Ga 0.7500 0.5000 0.0000  4 Rh 2.37
Rh 0.0000 0.5000 0.2500  4 Ga 2.37
Rh 0.0000 0.5000 0.7500  4 Ga 2.37
Rh 0.2500 0.0000 0.5000  4 Ga 2.37
Rh 0.5000 0.2500 0.0000  4 Ga 2.37
Rh 0.5000 0.7500 0.0000  4 Ga 2.37
Rh 0.7500 0.0000 0.5000  4 Ga 2.37

---

# Tl2CoIr

A relaxed Tl2CoIr crystal (PBE, Alexandria).

* distance to the lowest polymorph of the same formula: 0.193 eV/atom
* energy relative to the elements: 0.605 eV/atom
* uncorrected energy: -4.570 eV/atom

a b c (Å): 3.2335 3.2335 6.7090
angles (deg): 90.00 90.00 90.00
Closest atoms and distances in Å follow each position.
Element x y z (fractional)
Tl 0.0000 0.0000 0.2378  4 Co 2.79, 4 Ir 2.88
Tl 0.0000 0.0000 0.7622  4 Co 2.79, 4 Ir 2.88
Co 0.5000 0.5000 0.0000  8 Tl 2.79
Ir 0.5000 0.5000 0.5000  8 Tl 2.88

---

| no. | D(E_F) (states/eV per cell) |
| --- | --- |
| 1 | 8.30 |
| 2 | 35.14 |
| 3 | 4.37 |
| 4 | 12.84 |
| 5 | 4.02 |
| 6 | 14.12 |
| 7 | 8.71 |
| 8 | 2.35 |